Below is an optimized crystal structure of CoTcPtO2, with properties calculated at the PBE with a Hubbard U level.

Cell lengths 3.5597, 3.5597, 5.5001 Å; angles 90.00, 90.00, 90.00 degrees
Closest atoms and distances in Å follow each position.
Space group P4/mmm (No. 123)
Unique sites:
Co (0.0000, 0.0000, 0.0000) x1  4 O 1.78
Tc (0.0000, 0.0000, 0.5000) x1  4 Pt 2.52, 2 Co 2.75
Pt (0.5000, 0.5000, 0.5000) x1  4 Tc 2.52
O (0.0000, 0.5000, 0.0000) x2  2 Co 1.78

VASP energy   -5.757 eV/atom
Density of states at the Fermi level   5.083 states/eV/f.u.
Size of the total moment   3.45 μB per formula unit